Record 1
DFT (PBE) results for crystalline YTaTl at its relaxed geometry.

a = 7.544 Å, b = 7.544 Å, c = 7.544 Å
α = 156.04°, β = 156.04°, γ = 34.14°
Sites, in units of the cell vectors:
Ta1 0.999 0.999 0.000
Tl1 0.341 0.341 0.000
Y1 0.660 0.660 0.000

Calculated values
- SG = I4mm
- energy of formation from the pure elements (meV/atom) = 249.9
- total energy (eV per atom) = -6.644


Record 2
DFT (PBE) results for crystalline Ce7Sb3N2 at its relaxed geometry.

a = 4.783 Å, b = 4.894 Å, c = 12.600 Å
α = 101.20°, β = 90.00°, γ = 90.00°
Last column: magnetic moment on the atom in μB.
Sites, in units of the cell vectors:
Ce1 0.000 0.404 0.807  0.40
Ce2 0.000 0.800 0.600  0.88
Ce3 0.000 0.000 0.000  0.37
Ce4 0.000 0.596 0.193  0.40
Ce5 0.500 0.094 0.188  0.38
Ce6 0.500 0.906 0.812  0.38
Ce7 0.000 0.200 0.400  0.88
Sb1 0.500 0.500 0.000  -0.01
Sb2 0.500 0.689 0.379  -0.03
Sb3 0.500 0.311 0.621  -0.03
N1 0.000 0.898 0.795  -0.03
N2 0.000 0.102 0.205  -0.03

Calculated values
- SG = Cmmm
- formation energy (no corrections) (eV/f.u.) = -12.38
- total energy (eV per atom) = -6.912


Question: Number 2 is which compound?
Answer: Ce7Sb3N2


Question: The lowest total energy belongs to which entry?
Answer: Ce7Sb3N2